Density functional theory data (GGA-PBE) for a relaxed structure of Ce5Nb3C12.

POSCAR file:
```
Ce5Nb3C12
1.0
11.730 0.000 0.000
-3.910 11.059 0.000
-3.910 -5.530 9.578
Nb Ce C
12 20 48
direct
0.750 0.375 0.125 Nb
0.875 0.750 0.125 Nb
0.375 0.750 0.625 Nb
0.250 0.125 0.375 Nb
0.875 0.125 0.250 Nb
0.375 0.625 0.250 Nb
0.625 0.375 0.750 Nb
0.125 0.875 0.750 Nb
0.750 0.875 0.625 Nb
0.625 0.250 0.375 Nb
0.125 0.250 0.875 Nb
0.250 0.625 0.875 Nb
0.125 0.375 0.250 Ce
0.000 0.500 0.000 Ce
0.000 0.000 0.000 Ce
0.375 0.250 0.125 Ce
0.500 0.000 0.500 Ce
0.500 0.500 0.000 Ce
0.125 0.750 0.375 Ce
0.750 0.125 0.875 Ce
0.750 0.625 0.375 Ce
0.375 0.125 0.750 Ce
0.625 0.875 0.250 Ce
0.500 0.500 0.500 Ce
0.500 0.000 0.000 Ce
0.000 0.000 0.500 Ce
0.250 0.375 0.625 Ce
0.250 0.875 0.125 Ce
0.000 0.500 0.500 Ce
0.875 0.250 0.625 Ce
0.625 0.750 0.875 Ce
0.875 0.625 0.750 Ce
0.776 0.188 0.106 C
0.330 0.606 0.418 C
0.894 0.312 0.224 C
0.606 0.276 0.188 C
0.588 0.776 0.670 C
0.894 0.582 0.170 C
0.330 0.724 0.412 C
0.082 0.912 0.188 C
0.582 0.894 0.670 C
0.776 0.588 0.170 C
0.724 0.394 0.312 C
0.830 0.918 0.106 C
0.188 0.776 0.606 C
0.312 0.418 0.088 C
0.088 0.918 0.312 C
0.412 0.188 0.582 C
0.088 0.170 0.276 C
0.394 0.670 0.082 C
0.830 0.912 0.224 C
0.188 0.412 0.082 C
0.312 0.894 0.724 C
0.582 0.688 0.412 C
0.918 0.830 0.606 C
0.724 0.330 0.912 C
0.418 0.312 0.588 C
0.082 0.170 0.394 C
0.276 0.670 0.088 C
0.170 0.088 0.776 C
0.688 0.106 0.276 C
0.812 0.588 0.918 C
0.606 0.330 0.918 C
0.588 0.812 0.418 C
0.912 0.830 0.724 C
0.912 0.082 0.688 C
0.812 0.224 0.394 C
0.170 0.082 0.894 C
0.688 0.582 0.912 C
0.418 0.106 0.330 C
0.224 0.412 0.830 C
0.276 0.606 0.688 C
0.918 0.088 0.812 C
0.670 0.276 0.588 C
0.394 0.724 0.812 C
0.106 0.418 0.830 C
0.412 0.224 0.330 C
0.106 0.688 0.776 C
0.670 0.394 0.582 C
0.224 0.812 0.894 C
```

Results
- energy relative to the elements (meV/atom) = 216
- M_tot (μB per cell) = 22.46
- mass density (Mg/m³) = 6.0
- space-group type = Ia-3d, No. 230

***

Density functional theory data (GGA-PBE) for a relaxed structure of CeNb2TcC4.

POSCAR file:
```
CeNb2TcC4
1.0
-1.461 2.603 1.384
-3.710 -4.576 0.780
4.973 -2.376 9.718
Ce Nb Tc C
2 4 2 8
direct
0.103 0.207 0.750 Ce
0.897 0.793 0.250 Ce
0.372 0.744 0.538 Nb
0.628 0.256 0.038 Nb
0.628 0.256 0.462 Nb
0.372 0.744 0.962 Nb
0.840 0.680 0.750 Tc
0.160 0.320 0.250 Tc
0.265 0.530 0.113 C
0.735 0.470 0.613 C
0.735 0.470 0.887 C
0.265 0.530 0.387 C
0.000 0.000 0.500 C
0.000 0.000 0.000 C
0.438 0.875 0.750 C
0.562 0.125 0.250 C
```

Results
- energy relative to the elements (meV/atom) = -216
- M_tot (μB per cell) = 0.00
- mass density (Mg/m³) = 7.5
- space-group type = Cmcm, No. 63

***

Density functional theory data (GGA-PBE) for a relaxed structure of CeNbWC3.

POSCAR file:
```
CeNbWC3
1.0
3.305 0.000 0.000
0.000 5.663 0.116
0.000 -2.000 8.189
Ce Nb W C
2 2 2 6
direct
0.750 0.643 0.694 Ce
0.250 0.357 0.306 Ce
0.250 0.767 0.044 Nb
0.750 0.233 0.956 Nb
0.250 0.125 0.639 W
0.750 0.875 0.361 W
0.250 0.764 0.481 C
0.750 0.035 0.156 C
0.750 0.568 0.159 C
0.750 0.236 0.519 C
0.250 0.432 0.841 C
0.250 0.965 0.844 C
```

Results
- energy relative to the elements (meV/atom) = -302
- M_tot (μB per cell) = 0.00
- mass density (Mg/m³) = 9.8
- space-group type = P2_1/m, No. 11

***

Repeat the second record exactly.
Density functional theory data (GGA-PBE) for a relaxed structure of CeNb2TcC4.

POSCAR file:
```
CeNb2TcC4
1.0
-1.461 2.603 1.384
-3.710 -4.576 0.780
4.973 -2.376 9.718
Ce Nb Tc C
2 4 2 8
direct
0.103 0.207 0.750 Ce
0.897 0.793 0.250 Ce
0.372 0.744 0.538 Nb
0.628 0.256 0.038 Nb
0.628 0.256 0.462 Nb
0.372 0.744 0.962 Nb
0.840 0.680 0.750 Tc
0.160 0.320 0.250 Tc
0.265 0.530 0.113 C
0.735 0.470 0.613 C
0.735 0.470 0.887 C
0.265 0.530 0.387 C
0.000 0.000 0.500 C
0.000 0.000 0.000 C
0.438 0.875 0.750 C
0.562 0.125 0.250 C
```

Results
- energy relative to the elements (meV/atom) = -216
- M_tot (μB per cell) = 0.00
- mass density (Mg/m³) = 7.5
- space-group type = Cmcm, No. 63